Entry 1:
10
Lattice="3.1911 0.0000 0.0000 0.0000 3.1911 0.0000 0.0000 0.0000 15.9312" Properties=species:S:1:pos:R:3 comment="TiNb4Re5, relaxed, DFT PBE-GGA" e_tot_ev_per_cell=-113.6 n_ef_per_ev_cell=5.034 delta_e_f_ev_per_atom=-0.317 magmom_total_mub_per_cell=0.00 pbc="T T T"
Ti 0.0000 0.0000 0.0000
Nb 0.0000 0.0000 3.1201
Nb 0.0000 0.0000 6.3504
Nb 0.0000 0.0000 9.5808
Nb 0.0000 0.0000 12.8111
Re 1.5955 1.5955 1.5520
Re 1.5955 1.5955 4.7568
Re 1.5955 1.5955 7.9656
Re 1.5955 1.5955 11.1744
Re 1.5955 1.5955 14.3792

---

Entry 2:
5
Lattice="5.9620 0.0000 0.0000 0.0000 5.9620 0.0000 0.0000 0.0000 4.2761" Properties=species:S:1:pos:R:3 comment="BiTe2SeN, relaxed, DFT PBE-GGA" formation_energy_uncorrected_mev_per_atom=1219.5 e_tot_ev_per_cell=-15.9 n_ef_per_ev_cell=5.909 e_above_lowest_polymorph_ev_per_atom=0.444 magmom_total_mub_per_cell=1.14 pbc="T T T"
Bi 0.0000 0.0000 0.0000
Te 0.0000 2.9810 0.0000
Te 2.9810 0.0000 0.0000
Se 2.9810 2.9810 2.1381
N 0.0000 0.0000 2.1381

---

Entry 3:
6
Lattice="2.7854 0.0000 0.0000 0.0000 5.8607 0.0000 0.0000 0.0000 4.6206" Properties=species:S:1:pos:R:3 comment="MgBC, relaxed, DFT PBE-GGA" e_tot_ev_per_cell=-34.9 n_ef_per_ev_cell=1.101 delta_e_f_ev_per_atom=0.018 e_above_lowest_polymorph_ev_per_atom=0.000 magmom_total_mub_per_cell=0.00 pbc="T T T"
Mg 0.0000 1.0388 0.0000
Mg 1.3927 4.8219 2.3103
B 0.0000 2.8253 2.9249
B 1.3927 3.0355 0.6147
C 0.0000 3.0916 1.3840
C 1.3927 2.7692 3.6943

---

Entry 4:
4
Lattice="3.3796 0.0000 0.0000 0.0000 3.3796 0.0000 0.0000 0.0000 6.2306" Properties=species:S:1:pos:R:3 comment="OsPt2Pb, relaxed, DFT PBE-GGA" e_tot_ev_per_cell=-25.2 n_ef_per_ev_cell=2.861 delta_e_f_ev_per_atom=0.458 magmom_total_mub_per_cell=0.00 pbc="T T T"
Os 0.0000 0.0000 0.0000
Pt 0.0000 0.0000 3.5373
Pt 1.6898 1.6898 5.0162
Pb 1.6898 1.6898 1.8503

---

Entry 5:
8
Lattice="6.8955 0.0000 0.0000 0.0000 12.2052 0.0000 -3.3993 0.0000 3.4601" Properties=species:S:1:pos:R:3 comment="BaCa2As, relaxed, DFT PBE-GGA" e_tot_ev_per_cell=-22.8 n_ef_per_ev_cell=8.790 delta_e_f_ev_per_atom=-0.207 magmom_total_mub_per_cell=0.00 pbc="T T T"
Ba 0.0000 0.0000 0.0000
Ba 3.4478 6.1026 0.0000
Ca 1.7239 3.0513 0.0000
Ca 1.7239 9.1539 0.0000
Ca 5.1717 3.0513 0.0000
Ca 5.1717 9.1539 0.0000
As 0.0000 6.1026 0.0000
As 3.4478 0.0000 0.0000

---

Entry 6:
12
Lattice="2.8450 0.0000 0.0000 0.0000 4.0698 0.0000 0.0000 0.0000 17.5478" Properties=species:S:1:pos:R:3 comment="Al2Ag, relaxed, DFT PBE-GGA" e_tot_ev_per_cell=-41.4 n_ef_per_ev_cell=3.967 delta_e_f_ev_per_atom=-0.005 magmom_total_mub_per_cell=0.00 pbc="T T T"
Al 0.7112 1.0174 0.6877
Al 0.7112 1.0174 9.5212
Al 0.7112 1.0174 12.4546
Al 0.7112 1.0174 15.3896
Al 2.1337 3.0523 2.1582
Al 2.1337 3.0523 5.0932
Al 2.1337 3.0523 8.0266
Al 2.1337 3.0523 16.8601
Ag 0.7112 1.0174 3.6014
Ag 0.7112 1.0174 6.6126
Ag 2.1337 3.0523 10.9352
Ag 2.1337 3.0523 13.9464

---

Entry 7:
5
Lattice="6.2057 0.0000 0.0000 0.0000 6.2057 0.0000 0.0000 0.0000 6.2057" Properties=species:S:1:pos:R:3 comment="KNa3Mn, relaxed, DFT PBE-GGA" e_tot_ev_per_cell=-9.4 n_ef_per_ev_cell=5.146 delta_e_f_ev_per_atom=0.971 e_above_lowest_polymorph_ev_per_atom=0.427 magmom_total_mub_per_cell=4.56 pbc="T T T"
K 0.0000 0.0000 0.0000
Na 0.0000 0.0000 3.1028
Na 0.0000 3.1028 0.0000
Na 3.1028 0.0000 0.0000
Mn 3.1028 3.1028 3.1028

---

Entry 8:
16
Lattice="5.9359 0.0000 0.0000 0.0000 5.9359 0.0000 0.0000 0.0000 5.9359" Properties=species:S:1:pos:R:3 comment="TaBe2Os, relaxed, DFT PBE-GGA" e_tot_ev_per_cell=-122.9 n_ef_per_ev_cell=13.763 delta_e_f_ev_per_atom=-0.050 e_above_lowest_polymorph_ev_per_atom=0.251 magmom_total_mub_per_cell=0.00 pbc="T T T"
Ta 0.0000 0.0000 0.0000
Ta 0.0000 2.9680 2.9680
Ta 2.9680 0.0000 2.9680
Ta 2.9680 2.9680 0.0000
Be 0.0000 0.0000 2.9680
Be 0.0000 2.9680 0.0000
Be 1.4840 1.4840 4.4519
Be 1.4840 4.4519 1.4840
Be 2.9680 0.0000 0.0000
Be 2.9680 2.9680 2.9680
Be 4.4519 1.4840 1.4840
Be 4.4519 4.4519 4.4519
Os 1.4840 1.4840 1.4840
Os 1.4840 4.4519 4.4519
Os 4.4519 1.4840 4.4519
Os 4.4519 4.4519 1.4840

---

Entry 9:
20
Lattice="6.6875 0.0000 0.0000 0.0000 6.6875 0.0000 0.0000 0.0000 7.9536" Properties=species:S:1:pos:R:3 comment="Ce2SmC2, relaxed, DFT PBE-GGA" e_tot_ev_per_cell=-138.2 n_ef_per_ev_cell=35.265 delta_e_f_ev_per_atom=0.095 e_above_lowest_polymorph_ev_per_atom=0.199 magmom_total_mub_per_cell=4.25 pbc="T T T"
Ce 1.2001 2.1419 0.0000
Ce 1.2019 2.1437 3.9768
Ce 2.1419 5.4874 0.0000
Ce 2.1437 5.4856 3.9768
Ce 4.5438 1.2019 3.9768
Ce 4.5456 1.2001 0.0000
Ce 5.4856 4.5438 3.9768
Ce 5.4874 4.5456 0.0000
Sm 0.0000 0.0000 1.9910
Sm 0.0000 0.0000 5.9626
Sm 3.3437 3.3437 1.9858
Sm 3.3437 3.3437 5.9678
C 0.5096 3.8533 1.9884
C 0.5096 3.8533 5.9652
C 2.8342 0.5096 1.9884
C 2.8342 0.5096 5.9652
C 3.8533 6.1779 1.9884
C 3.8533 6.1779 5.9652
C 6.1779 2.8342 1.9884
C 6.1779 2.8342 5.9652

---

Entry 10:
16
Lattice="7.1234 0.0000 0.0000 0.0000 7.1234 0.0000 0.0000 0.0000 7.1234" Properties=species:S:1:pos:R:3 comment="YTe2Ru, relaxed, DFT PBE-GGA" formation_energy_uncorrected_mev_per_atom=-290.9 e_tot_ev_per_cell=-92.7 n_ef_per_ev_cell=16.387 e_above_lowest_polymorph_ev_per_atom=0.225 magmom_total_mub_per_cell=0.00 pbc="T T T"
Y 0.0000 0.0000 0.0000
Y 0.0000 3.5617 3.5617
Y 3.5617 0.0000 3.5617
Y 3.5617 3.5617 0.0000
Te 1.7808 1.7808 1.7808
Te 1.7808 1.7808 5.3425
Te 1.7808 5.3425 1.7808
Te 1.7808 5.3425 5.3425
Te 5.3425 1.7808 1.7808
Te 5.3425 1.7808 5.3425
Te 5.3425 5.3425 1.7808
Te 5.3425 5.3425 5.3425
Ru 0.0000 0.0000 3.5617
Ru 0.0000 3.5617 0.0000
Ru 3.5617 0.0000 0.0000
Ru 3.5617 3.5617 3.5617

---

Entry 11:
16
Lattice="8.6034 0.0000 0.0000 0.0000 8.6034 0.0000 0.0000 0.0000 8.6034" Properties=species:S:1:pos:R:3 comment="Ba2SnBi, relaxed, DFT PBE-GGA" e_tot_ev_per_cell=-56.7 n_ef_per_ev_cell=12.948 delta_e_f_ev_per_atom=-0.611 e_above_lowest_polymorph_ev_per_atom=0.098 magmom_total_mub_per_cell=0.00 pbc="T T T"
Ba 2.1509 2.1509 2.1509
Ba 2.1509 2.1509 6.4526
Ba 2.1509 6.4526 2.1509
Ba 2.1509 6.4526 6.4526
Ba 6.4526 2.1509 2.1509
Ba 6.4526 2.1509 6.4526
Ba 6.4526 6.4526 2.1509
Ba 6.4526 6.4526 6.4526
Sn 0.0000 0.0000 0.0000
Sn 0.0000 4.3017 4.3017
Sn 4.3017 0.0000 4.3017
Sn 4.3017 4.3017 0.0000
Bi 0.0000 0.0000 4.3017
Bi 0.0000 4.3017 0.0000
Bi 4.3017 0.0000 0.0000
Bi 4.3017 4.3017 4.3017

---

Entry 12:
6
Lattice="3.2281 0.0000 0.0000 1.4186 2.9008 0.0000 1.3468 -0.0559 14.1254" Properties=species:S:1:pos:R:3 comment="ZrNbCl, relaxed, DFT PBE-GGA" formation_energy_uncorrected_mev_per_atom=-758.7 e_tot_ev_per_cell=-45.5 n_ef_per_ev_cell=3.828 magmom_total_mub_per_cell=0.00 pbc="T T T"
Zr 0.0000 0.0000 0.0000
Zr 2.3224 1.4511 6.6727
Nb 2.3499 1.4666 2.3325
Nb 3.2543 0.0163 4.3406
Cl 2.9201 0.9250 12.3085
Cl 3.8954 2.4315 8.4894

---

| no. | V (Å³ per cell) |
| --- | --- |
| 1 | 162.2 |
| 2 | 152.0 |
| 3 | 75.4 |
| 4 | 71.2 |
| 5 | 291.2 |
| 6 | 203.2 |
| 7 | 239.0 |
| 8 | 209.2 |
| 9 | 355.7 |
| 10 | 361.5 |
| 11 | 636.8 |
| 12 | 132.3 |